CePr2Pa2Ru5 | GGA-PBE | relaxed

Cell: 10.763 10.763 3.707 Å, 90.00 90.00 90.00°
Sites, in units of the cell vectors:
Ce 0.000 0.000 0.000
Ce 0.500 0.500 0.000
Pr 0.174 0.326 0.000
Pr 0.326 0.826 0.000
Pr 0.674 0.174 0.000
Pr 0.826 0.674 0.000
Pa 0.135 0.635 0.000
Pa 0.365 0.135 0.000
Pa 0.635 0.865 0.000
Pa 0.865 0.365 0.000
Ru 0.000 0.500 0.500
Ru 0.055 0.798 0.500
Ru 0.202 0.055 0.500
Ru 0.298 0.555 0.500
Ru 0.445 0.298 0.500
Ru 0.500 0.000 0.500
Ru 0.555 0.702 0.500
Ru 0.702 0.445 0.500
Ru 0.798 0.945 0.500
Ru 0.945 0.202 0.500

## Properties
ρ   10.74 Mg/m³
Total DFT energy (no corrections)   -8.363 eV per atom
Volume   429 Å³/cell
Energy relative to the elements   -0.28 eV/atom

Ce2PrPaSe4 | GGA-PBE | relaxed

Cell: 7.227 4.168 7.265 Å, 90.00 109.33 90.00°
Sites, in units of the cell vectors:
Ce 0.000 0.000 0.000
Ce 0.000 0.500 0.500
Pr 0.500 0.000 0.500
Pa 0.500 0.500 0.000
Se 0.250 0.500 0.244
Se 0.254 0.000 0.756
Se 0.746 0.000 0.244
Se 0.750 0.500 0.756

## Properties
ρ   7.78 Mg/m³
Total DFT energy (no corrections)   -6.667 eV per atom
Volume   206 Å³/cell

CePrThPa | GGA-PBE | relaxed

Cell: 7.819 7.819 7.819 Å, 90.00 90.00 90.00°
Sites, in units of the cell vectors:
Ce 0.000 0.000 0.000
Ce 0.000 0.500 0.500
Ce 0.500 0.000 0.500
Ce 0.500 0.500 0.000
Pr 0.250 0.250 0.750
Pr 0.250 0.750 0.250
Pr 0.750 0.250 0.250
Pr 0.750 0.750 0.750
Th 0.000 0.000 0.500
Th 0.000 0.500 0.000
Th 0.500 0.000 0.000
Th 0.500 0.500 0.500
Pa 0.250 0.250 0.250
Pa 0.250 0.750 0.750
Pa 0.750 0.250 0.750
Pa 0.750 0.750 0.250

## Properties
ρ   10.34 Mg/m³
Total DFT energy (no corrections)   -6.552 eV per atom
Volume   478 Å³/cell
Energy relative to the elements   0.36 eV/atom

CePa2Pt | GGA-PBE | relaxed

Cell: 3.611 3.611 7.529 Å, 90.00 90.00 90.00°
Sites, in units of the cell vectors:
Ce 0.000 0.000 0.000
Pa 0.500 0.500 0.292
Pa 0.500 0.500 0.708
Pt 0.000 0.000 0.500

## Properties
ρ   13.48 Mg/m³
Total DFT energy (no corrections)   -8.043 eV per atom
Volume   98 Å³/cell
Energy relative to the elements   -0.30 eV/atom
Energy relative to the lowest polymorph listed for this composition   69 meV/atom

CePaPt4 | GGA-PBE | relaxed

Cell: 5.470 5.470 5.470 Å, 60.00 60.00 60.00°
Sites, in units of the cell vectors:
Ce 0.000 0.000 0.000
Pa 0.250 0.250 0.250
Pt 0.125 0.625 0.625
Pt 0.625 0.125 0.625
Pt 0.625 0.625 0.125
Pt 0.625 0.625 0.625

## Properties
ρ   16.52 Mg/m³
Total DFT energy (no corrections)   -7.506 eV per atom
Volume   116 Å³/cell
Energy relative to the elements   -0.91 eV/atom

CePaPt6 | GGA-PBE | relaxed

Cell: 4.186 4.186 8.357 Å, 90.00 90.00 90.00°
Sites, in units of the cell vectors:
Ce 0.000 0.000 0.000
Pa 0.000 0.000 0.500
Pt 0.000 0.500 0.256
Pt 0.000 0.500 0.744
Pt 0.500 0.000 0.256
Pt 0.500 0.000 0.744
Pt 0.500 0.500 0.000
Pt 0.500 0.500 0.500

## Properties
ρ   17.48 Mg/m³
Total DFT energy (no corrections)   -7.431 eV per atom
Volume   146 Å³/cell
Energy relative to the elements   -0.97 eV/atom

CePaPt | GGA-PBE | relaxed

Cell: 3.388 14.224 5.468 Å, 90.00 90.00 90.00°
Sites, in units of the cell vectors:
Ce 0.000 0.234 0.250
Ce 0.000 0.766 0.750
Ce 0.500 0.266 0.750
Ce 0.500 0.734 0.250
Pa 0.000 0.435 0.750
Pa 0.000 0.565 0.250
Pa 0.500 0.065 0.250
Pa 0.500 0.935 0.750
Pt 0.000 0.096 0.750
Pt 0.000 0.904 0.250
Pt 0.500 0.404 0.250
Pt 0.500 0.596 0.750

## Properties
ρ   14.27 Mg/m³
Total DFT energy (no corrections)   -7.768 eV per atom
Volume   264 Å³/cell
Energy relative to the elements   -0.61 eV/atom
Energy relative to the lowest polymorph listed for this composition   0 meV/atom

CePa2Pt | GGA-PBE | relaxed

Cell: 4.215 4.215 18.477 Å, 90.00 90.00 120.00°
Sites, in units of the cell vectors:
Ce 0.000 0.000 0.000
Ce 0.333 0.667 0.667
Ce 0.667 0.333 0.333
Pa 0.000 0.000 0.248
Pa 0.000 0.000 0.752
Pa 0.333 0.667 0.419
Pa 0.333 0.667 0.915
Pa 0.667 0.333 0.085
Pa 0.667 0.333 0.581
Pt 0.000 0.000 0.500
Pt 0.333 0.667 0.167
Pt 0.667 0.333 0.833

## Properties
ρ   13.97 Mg/m³
Total DFT energy (no corrections)   -7.933 eV per atom
Volume   284 Å³/cell
Energy relative to the elements   -0.19 eV/atom
Energy relative to the lowest polymorph listed for this composition   179 meV/atom